24
Lattice="5.8169 0.0000 0.0000 0.0000 11.2756 0.0000 0.0000 0.0000 3.3730" Properties=species:S:1:pos:R:3 comment="UMnB4, relaxed, DFT PBEsol" energy_ev_per_cell=-214.79 total_magnetization_mub_per_fu=0.00 delta_e_f_mev_per_atom=-619 crystal_system=orthorhombic pbc="T T T"
U 0.7375 1.6950 0.0000
U 2.1710 7.3328 0.0000
U 3.6460 3.9428 0.0000
U 5.0795 9.5806 0.0000
Mn 0.7847 4.6180 0.0000
Mn 2.1238 10.2558 0.0000
Mn 3.6932 1.0198 0.0000
Mn 5.0323 6.6576 0.0000
B 0.1490 7.7947 1.6865
B 0.6612 6.1554 1.6865
B 0.7883 10.8953 1.6865
B 1.2594 9.1670 1.6865
B 1.6491 3.5292 1.6865
B 2.1201 5.2575 1.6865
B 2.2473 0.5176 1.6865
B 2.7594 2.1568 1.6865
B 3.0575 9.1188 1.6865
B 3.5696 10.7580 1.6865
B 3.6968 6.0182 1.6865
B 4.1679 7.7465 1.6865
B 4.5575 2.1086 1.6865
B 5.0286 0.3804 1.6865
B 5.1558 5.1202 1.6865
B 5.6679 3.4810 1.6865